Record 1
Material: CaSnS2F
Method: DFT, PBE-GGA
State: relaxed

Computed properties:
Final energy = -4.989 eV/atom

Cell: 3.8036 3.8036 14.4098 Å, 90.00 90.00 90.00°
Space group P4/nmm (No. 129, origin choice 2)
Inequivalent atoms, fractional coordinates:
Ca1 0.2500 0.2500 0.0961 x2
Sn1 0.2500 0.2500 0.6472 x2
S1 0.2500 0.2500 0.3932 x2
S2 0.2500 0.2500 0.8156 x2
F1 0.2500 0.7500 0.0000 x2

=====

Record 2
Material: Ca2TlSF
Method: DFT, PBE-GGA
State: relaxed

Computed properties:
Final energy = -3.488 eV/atom

Cell: 5.1658 5.1658 6.0651 Å, 90.00 90.00 90.00°
Space group P4/mmm (No. 123)
Inequivalent atoms, fractional coordinates:
Ca1 0.0000 0.5000 0.0000 x2
Tl1 0.0000 0.0000 0.5000 x1
S1 0.5000 0.5000 0.0000 x1
F1 0.5000 0.5000 0.5000 x1

=====

Record 3
Material: CaTmS2F
Method: DFT, PBE-GGA
State: relaxed

Computed properties:
Final energy = -5.888 eV/atom

Cell: 3.8465 3.8465 13.7201 Å, 90.00 90.00 90.00°
Space group P4/nmm (No. 129, origin choice 2)
Inequivalent atoms, fractional coordinates:
Ca1 0.2500 0.2500 0.0989 x2
Tm1 0.2500 0.2500 0.6241 x2
S1 0.2500 0.2500 0.4099 x2
S2 0.2500 0.2500 0.8034 x2
F1 0.2500 0.7500 0.0000 x2

=====

Record 4
Material: CaUS2F
Method: DFT, PBE-GGA
State: relaxed

Computed properties:
Final energy = -6.945 eV/atom

Cell: 3.8659 3.8659 13.3855 Å, 90.00 90.00 90.00°
Space group P4/nmm (No. 129, origin choice 2)
Inequivalent atoms, fractional coordinates:
Ca1 0.2500 0.2500 0.1011 x2
U1 0.2500 0.2500 0.6096 x2
S1 0.2500 0.2500 0.3986 x2
S2 0.2500 0.2500 0.8009 x2
F1 0.2500 0.7500 0.0000 x2

=====

Record 5
Material: Ca2YSF
Method: DFT, PBE-GGA
State: relaxed

Computed properties:
Final energy = -4.690 eV/atom

Cell: 4.4102 4.4102 6.4481 Å, 90.00 90.00 90.00°
Space group P4/mmm (No. 123)
Inequivalent atoms, fractional coordinates:
Ca1 0.0000 0.5000 0.0000 x2
Y1 0.0000 0.0000 0.5000 x1
S1 0.5000 0.5000 0.5000 x1
F1 0.5000 0.5000 0.0000 x1

=====

Record 6
Material: CaSbF2
Method: DFT, PBE-GGA
State: relaxed

Computed properties:
Final energy = -4.030 eV/atom

Cell: 3.4606 3.4606 25.3947 Å, 90.00 90.00 120.00°
Space group R-3m (No. 166, hexagonal axes)
Inequivalent atoms, fractional coordinates:
Ca1 0.0000 0.0000 0.0000 x3
Sb1 0.0000 0.0000 0.5000 x3
F1 0.0000 0.0000 0.0829 x6

=====

Record 7
Material: CaSbF3
Method: DFT, PBE-GGA
State: relaxed

Computed properties:
Final energy = -4.084 eV/atom

Cell: 4.7132 4.7132 4.7132 Å, 90.00 90.00 90.00°
Space group Pm-3m (No. 221)
Inequivalent atoms, fractional coordinates:
Ca1 0.0000 0.0000 0.0000 x1
Sb1 0.5000 0.5000 0.5000 x1
F1 0.0000 0.5000 0.5000 x3

=====

Record 8
Material: CaSb2F8
Method: DFT, PBE-GGA
State: relaxed

Computed properties:
Final energy = -5.084 eV/atom

Cell: 10.0137 7.3795 5.3439 Å, 90.00 108.50 90.00°
Space group C2/m (No. 12)
Inequivalent atoms, fractional coordinates:
Ca1 0.0000 0.0000 0.0000 x2
Sb1 0.1634 0.5000 0.3021 x4
F1 0.1021 0.5000 0.9052 x4
F2 0.1420 0.0000 0.7280 x4
F3 0.1488 0.2142 0.2377 x8

=====

Record 9
Material: CaSb4F12
Method: DFT, PBE-GGA
State: relaxed

Computed properties:
Final energy = -4.878 eV/atom

Cell: 7.0462 7.4135 8.2017 Å, 67.36 89.38 64.68°
Space group P1 (No. 1)
Inequivalent atoms, fractional coordinates:
Ca1 0.0000 0.0000 0.0000 x1
Sb1 0.3813 0.6794 0.5485 x1
Sb2 0.4346 0.1676 0.0700 x1
Sb3 0.7998 0.6002 0.9861 x1
Sb4 0.9434 0.0281 0.4938 x1
F1 0.0181 0.2598 0.3286 x1
F2 0.0706 0.6246 0.0412 x1
F3 0.1028 0.8487 0.2981 x1
F4 0.3389 0.9587 0.0212 x1
F5 0.4070 0.3131 0.8061 x1
F6 0.4814 0.8991 0.4016 x1
F7 0.5211 0.6629 0.7782 x1
F8 0.6938 0.2472 0.0795 x1
F9 0.7105 0.9132 0.0711 x1
F10 0.7982 0.8168 0.7499 x1
F11 0.9661 0.1234 0.6945 x1
F12 0.9972 0.3563 0.9219 x1

=====

Record 10
Material: CaSb3F
Method: DFT, PBE-GGA
State: relaxed

Computed properties:
Final energy = -2.837 eV/atom

Cell: 5.6975 5.6975 5.6975 Å, 90.00 90.00 90.00°
Space group Pm-3m (No. 221)
Inequivalent atoms, fractional coordinates:
Ca1 0.0000 0.0000 0.0000 x1
Sb1 0.0000 0.0000 0.5000 x3
F1 0.5000 0.5000 0.5000 x1

=====

Record 11
Material: Ca6Sb3F
Method: DFT, PBE-GGA
State: relaxed

Computed properties:
Final energy = -3.876 eV/atom

Cell: 12.0787 14.9208 7.2356 Å, 90.00 90.00 90.00°
Space group Cmc2_1 (No. 36)
Inequivalent atoms, fractional coordinates:
Ca1 0.0000 0.0464 0.0000 x4
Ca2 0.0000 0.2239 0.4555 x4
Ca3 0.1566 0.2639 0.9771 x8
Ca4 0.1613 0.4766 0.4598 x8
Sb1 0.0000 0.3869 0.7461 x4
Sb2 0.1742 0.1065 0.6795 x8
F1 0.0000 0.1950 0.1288 x4

=====

Record 12
Material: CaSb2F
Method: DFT, PBE-GGA
State: relaxed

Computed properties:
Final energy = -3.677 eV/atom

Cell: 7.2432 7.2432 7.2432 Å, 90.00 90.00 90.00°
Space group Fm-3m (No. 225)
Inequivalent atoms, fractional coordinates:
Ca1 0.0000 0.0000 0.0000 x4
Sb1 0.2500 0.2500 0.2500 x8
F1 0.0000 0.0000 0.5000 x4

=====

Record 13
Material: CaSb3F
Method: DFT, PBE-GGA
State: relaxed

Computed properties:
Final energy = -3.862 eV/atom

Cell: 5.0008 5.0008 5.0008 Å, 90.00 90.00 90.00°
Space group Pm-3m (No. 221)
Inequivalent atoms, fractional coordinates:
Ca1 0.0000 0.0000 0.0000 x1
Sb1 0.0000 0.5000 0.5000 x3
F1 0.5000 0.5000 0.5000 x1

=====

Record 14
Material: CaSb2F
Method: DFT, PBE-GGA
State: relaxed

Computed properties:
Final energy = -4.208 eV/atom

Cell: 4.1008 4.1008 24.7031 Å, 90.00 90.00 90.00°
Space group I-42d (No. 122)
Inequivalent atoms, fractional coordinates:
Ca1 0.0000 0.0000 0.0000 x4
Sb1 0.2499 0.2500 0.1250 x8
F1 0.0000 0.0000 0.5000 x4

=====

Record 15
Material: CaSbF3
Method: DFT, PBE-GGA
State: relaxed

Computed properties:
Final energy = -4.663 eV/atom

Cell: 4.4631 4.4631 4.4631 Å, 90.00 90.00 90.00°
Space group Pm-3m (No. 221)
Inequivalent atoms, fractional coordinates:
Ca1 0.0000 0.0000 0.0000 x1
Sb1 0.5000 0.5000 0.5000 x1
F1 0.0000 0.0000 0.5000 x3

=====

Record 16
Material: Ca2SbF
Method: DFT, PBE-GGA
State: relaxed

Computed properties:
Final energy = -4.246 eV/atom

Cell: 4.5156 4.5156 17.2072 Å, 90.00 90.00 120.00°
Space group R-3m (No. 166, hexagonal axes)
Inequivalent atoms, fractional coordinates:
Ca1 0.0000 0.0000 0.2414 x6
Sb1 0.0000 0.0000 0.0000 x3
F1 0.0000 0.0000 0.5000 x3

=====

Record 17
Material: CaSbF2
Method: DFT, PBE-GGA
State: relaxed

Computed properties:
Final energy = -5.060 eV/atom

Cell: 3.4287 3.4287 28.7271 Å, 90.00 90.00 120.00°
Space group R-3m (No. 166, hexagonal axes)
Inequivalent atoms, fractional coordinates:
Ca1 0.0000 0.0000 0.0000 x3
Sb1 0.0000 0.0000 0.5000 x3
F1 0.0000 0.0000 0.3699 x6

=====

Record 18
Material: CaSbF2
Method: DFT, PBE-GGA
State: relaxed

Computed properties:
Final energy = -4.049 eV/atom

Cell: 6.6532 6.6532 6.6532 Å, 90.00 90.00 90.00°
Space group Fm-3m (No. 225)
Inequivalent atoms, fractional coordinates:
Ca1 0.0000 0.0000 0.0000 x4
Sb1 0.0000 0.0000 0.5000 x4
F1 0.2500 0.2500 0.2500 x8

=====

Record 19
Material: Ca2SbF
Method: DFT, PBE-GGA
State: relaxed

Computed properties:
Final energy = -4.561 eV/atom

Cell: 7.6223 8.8814 6.7769 Å, 90.00 116.23 90.00°
Space group P2_1/c (No. 14)
Inequivalent atoms, fractional coordinates:
Ca1 0.1864 0.2503 0.0927 x4
Ca2 0.2714 0.6095 0.3854 x4
Sb1 0.1609 0.5580 0.8298 x4
F1 0.3862 0.1421 0.9422 x4

=====

Record 20
Material: Ca2SbF
Method: DFT, PBE-GGA
State: relaxed

Computed properties:
Final energy = -4.264 eV/atom

Cell: 6.1290 6.1290 12.4474 Å, 90.00 90.00 90.00°
Space group I-42d (No. 122)
Inequivalent atoms, fractional coordinates:
Ca1 0.1592 0.2500 0.1250 x8
Sb1 0.0000 0.0000 0.5000 x4
F1 0.0000 0.0000 0.0000 x4